[1]
Density functional theory data (PBE-GGA) for Nd2MgZnCu6 after structural relaxation.

Unit cell a=6.5975 b=6.6665 c=5.0177 alpha=67.73 beta=67.47 gamma=81.64
With the nearest neighbours (Å) after each atom.
Fractional coordinates of all 10 atoms:
Nd  0.1979  0.7160  0.5438  7 Cu 3.06-3.26, 2 Zn 3.29, 2 Mg 3.38-3.39
Nd  0.8021  0.2840  0.4562  7 Cu 3.06-3.26, 2 Zn 3.29, 2 Mg 3.38-3.39
Cu  0.5700  0.0698  0.1802  4 Cu 2.47-2.50, 1 Zn 2.66, 1 Mg 2.69
Cu  0.4300  0.9302  0.8198  4 Cu 2.47-2.50, 1 Zn 2.66, 1 Mg 2.69
Cu  0.7421  0.7680  0.9972  1 Zn 2.47, 4 Cu 2.47-2.53, 1 Mg 2.56
Cu  0.7429  0.7677  0.4931  1 Zn 2.46, 4 Cu 2.48-2.53, 1 Mg 2.55
Cu  0.2571  0.2324  0.5069  1 Zn 2.46, 4 Cu 2.48-2.53, 1 Mg 2.55
Cu  0.2579  0.2320  0.0028  1 Zn 2.47, 4 Cu 2.47-2.53, 1 Mg 2.56
Zn  0.0000  0.0000  0.0000  6 Cu 2.46-2.66
Mg  0.5000  0.5000  0.0000  6 Cu 2.55-2.69

## Properties
As for the size of the total moment: 0.00 μB per cell. The symmetry is P-1, No. 2. As for the formation energy: -1.79 kcal/mol of atoms.

[2]
Density functional theory data (PBE-GGA) for NaCePm2Te4 after structural relaxation.

Unit cell a=4.4666 b=7.7802 c=7.8285 alpha=109.10 beta=90.00 gamma=90.00
With the nearest neighbours (Å) after each atom.
Fractional coordinates of all 8 atoms:
Ce  0.5000  0.5000  0.0000  6 Te 3.19
Te  0.0000  0.7526  0.2507  1 Na 3.17, 3 Pm 3.17-3.19, 2 Ce 3.19
Te  0.5000  0.2495  0.2516  3 Pm 3.17-3.18, 2 Na 3.18, 1 Ce 3.19
Te  0.0000  0.2474  0.7493  1 Na 3.17, 3 Pm 3.17-3.19, 2 Ce 3.19
Te  0.5000  0.7505  0.7484  3 Pm 3.17-3.18, 2 Na 3.18, 1 Ce 3.19
Pm  0.0000  0.5000  0.5000  6 Te 3.18-3.19
Pm  0.5000  0.0000  0.5000  6 Te 3.17
Na  0.0000  0.0000  0.0000  6 Te 3.17-3.18

## Properties
As for the size of the total moment: 1.28 μB per cell. The calculation puts the uncorrected formation energy at -1.36 eV/atom. The symmetry is P2/m, No. 10.

[3]
Density functional theory data (PBE-GGA) for Tm2ThZn6 after structural relaxation.

Unit cell a=3.4924 b=7.7792 c=7.7793 alpha=120.00 beta=90.02 gamma=90.00
With the nearest neighbours (Å) after each atom.
Fractional coordinates of all 9 atoms:
Zn  0.5004  0.0000  0.3385  3 Zn 2.51-2.63
Zn  0.4996  0.6615  0.6615  3 Zn 2.51-2.63
Zn  0.4996  0.0000  0.6615  3 Zn 2.51-2.63
Zn  0.5004  0.3385  0.3385  3 Zn 2.51-2.63
Zn  0.5000  0.3385  0.0000  3 Zn 2.51-2.63
Zn  0.5000  0.6615  0.0000  3 Zn 2.51-2.63
Th  0.0000  0.0000  0.0000  12 Zn 3.16, 2 Th 3.49
Tm  0.0000  0.6667  0.3334  12 Zn 3.11
Tm  0.0000  0.3333  0.6666  12 Zn 3.11

## Properties
As for the size of the total moment: 0.00 μB per cell. The symmetry is P6/mmm, No. 191. As for the formation energy: -7.57 kcal/mol of atoms.

[4]
Density functional theory data (PBE-GGA) for Tl2VRe after structural relaxation.

Unit cell a=4.7322 b=4.7322 c=4.7322 alpha=60.00 beta=60.00 gamma=60.00
With the nearest neighbours (Å) after each atom.
Fractional coordinates of all 4 atoms:
V  0.0000  0.0000  0.0000  8 Tl 2.90
Tl  0.2500  0.2500  0.2500  4 Re 2.90, 4 V 2.90
Tl  0.7500  0.7500  0.7500  4 Re 2.90, 4 V 2.90
Re  0.5000  0.5000  0.5000  8 Tl 2.90

## Properties
As for the size of the total moment: 1.10 μB per cell. The symmetry is Fm-3m, No. 225. As for the formation energy: 22.35 kcal/mol of atoms.

[5]
Density functional theory data (PBE-GGA) for Tc4Ag after structural relaxation.

Unit cell a=6.0473 b=6.0473 c=6.0473 alpha=140.61 beta=140.61 gamma=56.92
With the nearest neighbours (Å) after each atom.
Fractional coordinates of all 5 atoms:
Tc  0.6151  0.6151  0.0000  5 Tc 2.45-2.49
Tc  0.7500  0.2500  0.5000  4 Tc 2.49
Tc  0.3849  0.3849  0.0000  5 Tc 2.45-2.49
Tc  0.2500  0.7500  0.5000  4 Tc 2.49
Ag  0.0000  0.0000  0.0000  16 Tc 3.13-3.35

## Properties
As for the size of the total moment: 0.00 μB per cell. The symmetry is I4/mmm, No. 139. As for the formation energy: 12.93 kcal/mol of atoms.

[6]
Density functional theory data (PBE-GGA) for NaHfIn after structural relaxation.

Unit cell a=4.8397 b=4.8397 c=11.2312 alpha=90.00 beta=90.00 gamma=120.00
With the nearest neighbours (Å) after each atom.
Fractional coordinates of all 6 atoms:
Hf  0.0000  0.0000  0.5000  2 In 2.81
Hf  0.0000  0.0000  0.0000  2 In 2.81
Na  0.3333  0.6667  0.2500  3 In 2.79
Na  0.6667  0.3333  0.7500  3 In 2.79
In  0.0000  0.0000  0.2500  3 Na 2.79, 2 Hf 2.81
In  0.0000  0.0000  0.7500  3 Na 2.79, 2 Hf 2.81

## Properties
As for the size of the total moment: 0.00 μB per cell. The symmetry is P6_3/mmc, No. 194. As for the formation energy: 32.64 kcal/mol of atoms.

[7]
Density functional theory data (PBE-GGA) for In2OsRh after structural relaxation.

Unit cell a=4.4211 b=2.9537 c=5.4335 alpha=86.42 beta=90.00 gamma=90.00
With the nearest neighbours (Å) after each atom.
Fractional coordinates of all 4 atoms:
In  0.0000  0.2224  0.7490  2 Rh 2.69, 2 Os 2.75, 3 In 2.95
In  0.0000  0.7776  0.2510  2 Rh 2.69, 2 Os 2.75, 3 In 2.95
Os  0.5000  0.5000  0.0000  4 In 2.75, 2 Os 2.95, 2 Rh 3.01
Rh  0.5000  0.0000  0.5000  4 In 2.69, 2 Rh 2.95, 2 Os 3.01

## Properties
As for the size of the total moment: 0.38 μB per cell. The symmetry is P2/m, No. 10. As for the formation energy: 8.26 kcal/mol of atoms.

[8]
Density functional theory data (PBE-GGA) for InAgAu after structural relaxation.

Unit cell a=6.4331 b=6.4330 c=3.1237 alpha=75.95 beta=75.95 gamma=28.10
With the nearest neighbours (Å) after each atom.
Fractional coordinates of all 3 atoms:
Ag  0.9966  0.9966  0.0034  4 Au 2.95, 4 In 3.04, 4 Ag 3.12
Au  0.3346  0.3346  0.6654  4 Ag 2.95, 4 In 2.98, 4 Au 3.12
In  0.6689  0.6689  0.3311  4 Au 2.98, 4 Ag 3.04, 4 In 3.12

## Properties
As for the size of the total moment: 0.00 μB per cell. The symmetry is I4mm, No. 107. As for the formation energy: -0.99 kcal/mol of atoms.